! meta-GGA SCAN ZrInSe2, single point on PBEsol structure; values from VASP
&SYSTEM
  ibrav = 0, nat = 4, ntyp = 3
/
ATOMIC_SPECIES
Zr 91.22 Zr.upf
In 114.82 In.upf
Se 78.96 Se.upf
ATOMIC_POSITIONS angstrom
Zr 0.0000 0.0000 0.0000
In 0.0000 1.9830 2.6399
Se 1.9830 0.0000 2.6399
Se 0.0000 0.0000 5.2798
CELL_PARAMETERS angstrom
-1.9830 1.9830 5.2798
1.9830 -1.9830 5.2798
1.9830 1.9830 -5.2798
! N(E_F)   0.481 states/eV per atom
! E_tot   -106.048 eV/f.u.
! M_tot   0.000 μB/atom
! Raw formation energy   -0.452 eV/atom